Entry 1:
The following is a DFT calculation (GGA-PBE) of a relaxed BTeSN2 crystal.

As for the total magnetization: 0.57 μB per cell. The calculation puts the density at 5.9 Mg/m³. Its energy above the most stable polymorph in this dataset is 1 meV/atom.

The space group is P4/mmm (No. 123) and the conventional cell measures 3.667, 3.667 and 4.184 Å, with angles of 90.00, 90.00 and 90.00 degrees. Symmetry generates all atoms from B at (0.000, 0.000, 0.000), Te at (0.500, 0.500, 0.500), S at (0.000, 0.000, 0.500) and N at (0.000, 0.500, 0.000).

Entry 2:
The following is a DFT calculation (GGA-PBE) of a relaxed Cu7Os crystal.

The formation energy comes out at 159 kJ/mol of formula units. As for the total magnetization: 0.00 μB per cell. The calculation puts the density at 10.7 Mg/m³.

The space group is Fm-3m (No. 225) and the conventional cell measures 7.339, 7.339 and 7.339 Å, with angles of 90.00, 90.00 and 90.00 degrees. Symmetry generates all atoms from Cu at (0.000, 0.000, 0.000), Cu at (0.000, 0.250, 0.250) and Os at (0.000, 0.000, 0.500).